A geometry-optimized Ce12PdRu6 structure. Source: Alexandria via LeMat-Bulk, functional PBE-GGA.

Lattice parameters (Å, degrees): 8.0628 8.0628 8.0628 97.00 97.00 97.00
Sites, in units of the cell vectors:
Ce  0.0565  0.8892  0.6674
Ce  0.1108  0.3326  0.9435
Ce  0.1951  0.5641  0.3947
Ce  0.3326  0.9435  0.1108
Ce  0.3947  0.1951  0.5641
Ce  0.4359  0.6053  0.8049
Ce  0.5641  0.3947  0.1951
Ce  0.6053  0.8049  0.4359
Ce  0.6674  0.0565  0.8892
Ce  0.8049  0.4359  0.6053
Ce  0.8892  0.6674  0.0565
Ce  0.9435  0.1108  0.3326
Pd  0.0000  0.0000  0.0000
Ru  0.1292  0.3268  0.6305
Ru  0.3268  0.6305  0.1292
Ru  0.3695  0.8708  0.6732
Ru  0.6305  0.1292  0.3268
Ru  0.6732  0.3695  0.8708
Ru  0.8708  0.6732  0.3695

Computed properties:
**Space group**: No. 148
**E_form**: -183 meV per atom
**Total moment**: 5.97 Bohr magnetons per cell
**D(E_F)**: 51.28 states/eV per cell



A geometry-optimized Li3Zr3FeS8 structure. Source: Alexandria via LeMat-Bulk, functional PBE-GGA.

Lattice parameters (Å, degrees): 7.1162 7.1162 7.5084 118.36 118.36 59.94
Sites, in units of the cell vectors:
Li  0.0000  0.0000  0.0000
Li  0.0000  0.5000  0.0000
Li  0.5000  0.0000  0.0000
Zr  0.0000  0.5000  0.5000
Zr  0.5000  0.0000  0.5000
Zr  0.5000  0.5000  0.5000
Fe  0.0000  0.0000  0.5000
S  0.2315  0.2315  0.7317
S  0.2308  0.7686  0.2683
S  0.2314  0.7692  0.7317
S  0.2499  0.2499  0.2496
S  0.7501  0.7501  0.7504
S  0.7686  0.2308  0.2683
S  0.7692  0.2314  0.7317
S  0.7685  0.7685  0.2683

Computed properties:
**Space group**: No. 12
**Total moment**: 0.00 Bohr magnetons per cell
**Formation energy (no corrections)**: -1.30 eV/atom
**D(E_F)**: 4.06 states/eV per cell



A geometry-optimized Li2SiH8 structure. Source: Alexandria via LeMat-Bulk, functional PBE-GGA.

Lattice parameters (Å, degrees): 6.3357 6.3357 4.3099 103.41 103.41 27.83
Sites, in units of the cell vectors:
Li  0.1451  0.1451  0.1367
Li  0.8550  0.8550  0.8633
Si  0.5000  0.5000  0.5000
H  0.0125  0.0125  0.7170
H  0.2632  0.2632  0.9781
H  0.3793  0.3793  0.5632
H  0.4384  0.4384  0.1274
H  0.5616  0.5616  0.8726
H  0.6207  0.6207  0.4368
H  0.7368  0.7368  0.0219
H  0.9875  0.9875  0.2830

Computed properties:
**Space group**: No. 12
**Calculated total energy**: -3.03 eV per atom
**Total moment**: 0.00 Bohr magnetons per cell
**D(E_F)**: 1.19 states/eV per cell



A geometry-optimized As3IrC structure. Source: Alexandria via LeMat-Bulk, functional PBE-GGA.

Lattice parameters (Å, degrees): 4.2177 4.2177 4.2177 90.00 90.00 90.00
Sites, in units of the cell vectors:
As  0.0000  0.0000  0.5000
As  0.0000  0.5000  0.0000
As  0.5000  0.0000  0.0000
Ir  0.5000  0.5000  0.5000
C  0.0000  0.0000  0.0000

Computed properties:
**Space group**: No. 221
**E_form**: 1079 meV per atom
**Total moment**: 0.00 Bohr magnetons per cell
**D(E_F)**: 3.29 states/eV per cell



A geometry-optimized In2PbSeO structure. Source: Alexandria via LeMat-Bulk, functional PBE-GGA.

Lattice parameters (Å, degrees): 5.5605 5.5605 5.7926 90.00 90.00 90.00
Sites, in units of the cell vectors:
In  0.0000  0.5000  0.0000
In  0.5000  0.0000  0.0000
Pb  0.0000  0.0000  0.5000
Se  0.0000  0.0000  0.0000
O  0.5000  0.5000  0.5000

Computed properties:
**Space group**: No. 123
**Total moment**: 0.00 Bohr magnetons per cell
**Formation energy (no corrections)**: 0.60 eV/atom
**D(E_F)**: 2.59 states/eV per cell



A geometry-optimized LiGaC structure. Source: Alexandria via LeMat-Bulk, functional PBE-GGA.

Lattice parameters (Å, degrees): 3.2867 3.9954 6.1203 90.00 90.00 90.00
Sites, in units of the cell vectors:
Li  0.0000  0.0000  0.0000
Li  0.5000  0.0000  0.5000
Ga  0.0000  0.5000  0.3029
Ga  0.0000  0.5000  0.6971
C  0.5000  0.5000  0.1150
C  0.5000  0.5000  0.8850

Computed properties:
**Space group**: No. 47
**E_form**: 240 meV per atom
**Total moment**: 0.00 Bohr magnetons per cell
**D(E_F)**: 1.51 states/eV per cell